A relaxed Tl2MoN crystal. Source: the Alexandria database, functional GGA-PBE.

Summary:
- Size of the total moment: 5.0 μB per cell
- DFT total energy: -4.615 eV per atom
- E above lowest polymorph: 0 meV per atom

Cell lengths 7.231, 7.231, 5.892 Å; angles 52.15, 52.15, 90.00 degrees
Last column: magnetic moment on the atom in μB.
Element x y z (fractional)
Mo  0.750  0.250  0.500  2.20
Mo  0.000  0.000  0.000  2.20
N  0.500  0.500  0.000  0.02
N  0.250  0.750  0.500  0.03
Tl  0.375  0.434  0.750  -0.01
Tl  0.875  0.816  0.750  -0.02
Tl  0.566  0.125  0.250  -0.01
Tl  0.184  0.625  0.250  -0.01